Entry 1:
# NaScTi2H (PBE-GGA, optimized geometry)
data_NaScTi2H
_space_group_name_H-M_alt 'P 4/m m m'
_space_group_IT_number 123
_space_group_name_Hall '-P 4 2'
_cell_length_a 4.741
_cell_length_b 4.741
_cell_length_c 5.886
_cell_angle_alpha 90.00
_cell_angle_beta 90.00
_cell_angle_gamma 90.00
loop_
_atom_site_label
_atom_site_type_symbol
_atom_site_fract_x
_atom_site_fract_y
_atom_site_fract_z
Na1 Na 0.000 0.000 0.000
Sc1 Sc 0.000 0.000 0.500
Ti1 Ti 0.000 0.500 0.500
H1 H 0.500 0.500 0.000
# DFT total energy ... -3.645 eV/atom
# Size of the total moment ... 0.0 μB/f.u.

---

Entry 2:
# NaSc2TlH (PBE-GGA, optimized geometry)
data_NaSc2TlH
_space_group_name_H-M_alt 'P 4/m m m'
_space_group_IT_number 123
_space_group_name_Hall '-P 4 2'
_cell_length_a 4.567
_cell_length_b 4.567
_cell_length_c 4.493
_cell_angle_alpha 90.00
_cell_angle_beta 90.00
_cell_angle_gamma 90.00
loop_
_atom_site_label
_atom_site_type_symbol
_atom_site_fract_x
_atom_site_fract_y
_atom_site_fract_z
Na1 Na 0.000 0.000 0.000
Sc1 Sc 0.000 0.500 0.500
Tl1 Tl 0.500 0.500 0.000
H1 H 0.000 0.000 0.500
# DFT total energy ... -4.093 eV/atom
# Size of the total moment ... 1.0 μB/f.u.

---

Entry 3:
# NaHSe2 (PBE-GGA, optimized geometry)
data_NaHSe2
_space_group_name_H-M_alt 'F m -3 m'
_space_group_IT_number 225
_space_group_name_Hall '-F 4 2 3'
_cell_length_a 6.617
_cell_length_b 6.617
_cell_length_c 6.617
_cell_angle_alpha 90.00
_cell_angle_beta 90.00
_cell_angle_gamma 90.00
loop_
_atom_site_label
_atom_site_type_symbol
_atom_site_fract_x
_atom_site_fract_y
_atom_site_fract_z
Na1 Na 0.000 0.000 0.000
H1 H 0.000 0.000 0.500
Se1 Se 0.250 0.250 0.250
# ΔE to the lowest computed polymorph ... 856.3 meV per atom
# Size of the total moment ... 0.4 μB/f.u.

---

Entry 4:
# NaHSe2 (PBE-GGA, optimized geometry)
data_NaHSe2
_space_group_name_H-M_alt 'R -3 m'
_space_group_IT_number 166
_space_group_name_Hall '-R 3 2"'
_cell_length_a 3.4265
_cell_length_b 3.4265
_cell_length_c 23.4110
_cell_angle_alpha 90.00
_cell_angle_beta 90.00
_cell_angle_gamma 120.00
loop_
_atom_site_label
_atom_site_type_symbol
_atom_site_fract_x
_atom_site_fract_y
_atom_site_fract_z
Na1 Na 0.0000 0.0000 0.0000
H1 H 0.0000 0.0000 0.5000
Se1 Se 0.0000 0.0000 0.4252
# ΔE to the lowest computed polymorph ... 372.3 meV per atom
# Size of the total moment ... 0.0 μB/f.u.

---

Entry 5:
# Na3H5Se2 (PBE-GGA, optimized geometry)
data_Na3H5Se2
_space_group_name_H-M_alt 'I b a m'
_space_group_IT_number 72
_space_group_name_Hall '-I 2 2c'
_cell_length_a 10.013
_cell_length_b 11.672
_cell_length_c 6.220
_cell_angle_alpha 90.00
_cell_angle_beta 90.00
_cell_angle_gamma 90.00
loop_
_atom_site_label
_atom_site_type_symbol
_atom_site_fract_x
_atom_site_fract_y
_atom_site_fract_z
Na1 Na 0.000 0.000 0.250
Na2 Na 0.099 0.393 0.000
H1 H 0.000 0.199 0.250
H2 H 0.000 0.500 0.250
H3 H 0.189 0.384 0.500
Se1 Se 0.162 0.155 0.000
# DFT total energy ... -2.714 eV/atom
# Size of the total moment ... 0.0 μB/f.u.

---

Entry 6:
# Na3H4Se4 (PBE-GGA, optimized geometry)
data_Na3H4Se4
_space_group_name_H-M_alt 'P 1'
_space_group_IT_number 1
_cell_length_a 3.716
_cell_length_b 4.522
_cell_length_c 14.523
_cell_angle_alpha 91.41
_cell_angle_beta 97.33
_cell_angle_gamma 90.00
loop_
_space_group_symop_operation_xyz
'x,y,z'
loop_
_atom_site_label
_atom_site_type_symbol
_atom_site_fract_x
_atom_site_fract_y
_atom_site_fract_z
Na1 Na 0.000 0.000 0.000
Na2 Na 0.137 0.591 0.276
Na3 Na 0.306 0.785 0.617
H1 H 0.430 0.483 0.861
H2 H 0.557 0.207 0.113
H3 H 0.726 0.381 0.456
H4 H 0.887 0.269 0.778
Se1 Se 0.482 0.504 0.964
Se2 Se 0.604 0.091 0.209
Se3 Se 0.720 0.706 0.442
Se4 Se 0.835 0.288 0.675
# DFT total energy ... -3.263 eV/atom
# Size of the total moment ... 0.0 μB/f.u.

---

Entry 7:
# NaHSe2 (PBE-GGA, optimized geometry)
data_NaHSe2
_space_group_name_H-M_alt 'P 1'
_space_group_IT_number 1
_cell_length_a 5.357
_cell_length_b 5.362
_cell_length_c 7.701
_cell_angle_alpha 92.82
_cell_angle_beta 92.75
_cell_angle_gamma 107.22
loop_
_space_group_symop_operation_xyz
'x,y,z'
loop_
_atom_site_label
_atom_site_type_symbol
_atom_site_fract_x
_atom_site_fract_y
_atom_site_fract_z
Na1 Na 0.000 0.000 0.000
Na2 Na 0.266 0.731 0.500
H1 H 0.568 0.331 0.219
H2 H 0.598 0.301 0.718
Se1 Se 0.129 0.550 0.137
Se2 Se 0.534 0.467 0.058
Se3 Se 0.734 0.266 0.558
Se4 Se 0.816 0.861 0.638
# ΔE to the lowest computed polymorph ... 17.4 meV per atom
# Size of the total moment ... 0.0 μB/f.u.

---

Entry 8:
# NaH3Se (PBE-GGA, optimized geometry)
data_NaH3Se
_space_group_name_H-M_alt 'P m -3 m'
_space_group_IT_number 221
_space_group_name_Hall '-P 4 2 3'
_cell_length_a 3.795
_cell_length_b 3.795
_cell_length_c 3.795
_cell_angle_alpha 90.00
_cell_angle_beta 90.00
_cell_angle_gamma 90.00
loop_
_atom_site_label
_atom_site_type_symbol
_atom_site_fract_x
_atom_site_fract_y
_atom_site_fract_z
Na1 Na 0.000 0.000 0.000
H1 H 0.000 0.000 0.500
Se1 Se 0.500 0.500 0.500
# ΔE to the lowest computed polymorph ... 684.8 meV per atom
# Size of the total moment ... 0.0 μB/f.u.